Entry 1:
This record from Alexandria describes an optimized crystal structure of BaHBr. The functional is PBE.

Summary:
**Final energy**: -21.85 eV per cell

The structure in POSCAR format:
```
BaHBr
1.0
5.534 -2.296 0.000
5.534 2.296 0.000
-2.408 0.000 7.842
Ba H Br
2 2 2
Cartesian
1.615 0.000 2.111
7.044 0.000 5.731
2.062 0.000 4.673
6.597 0.000 3.169
-0.831 0.000 6.546
9.491 0.000 1.296
```

Entry 2:
This record from Alexandria describes an optimized crystal structure of LiAlBr. The functional is PBE.

Summary:
**Energy relative to the elements, uncorrected**: -0.04 eV/atom
**Final energy**: -7.44 eV per cell
**Offset from the most stable computed form**: 366 meV/atom

The structure in POSCAR format:
```
LiAlBr
1.0
0.000 3.384 3.384
3.384 0.000 3.384
3.384 3.384 0.000
Li Al Br
1 1 1
Cartesian
0.000 0.000 0.000
1.692 1.692 1.692
5.076 5.076 5.076
```

Entry 3:
This record from Alexandria describes an optimized crystal structure of PmSmCo. The functional is PBE.

Summary:
**Final energy**: -16.60 eV per cell
**ΔH_f (0 K)**: 0.0 eV per formula unit
**Offset from the most stable computed form**: 80 meV/atom

The structure in POSCAR format:
```
PmSmCo
1.0
-1.722 1.722 6.531
1.722 -1.722 6.531
1.722 1.722 -6.531
Pm Sm Co
1 1 1
Cartesian
0.000 0.000 0.000
0.000 0.000 9.762
0.000 0.000 4.865
```

Entry 4:
This record from Alexandria describes an optimized crystal structure of PrZnB. The functional is PBE.

Summary:
**Final energy**: -26.34 eV per cell
**ΔH_f (0 K)**: -0.4 eV per formula unit

The structure in POSCAR format:
```
PrZnB
1.0
3.903 -2.290 0.000
3.903 2.290 0.000
-2.705 0.000 6.599
Pr Zn B
2 2 2
Cartesian
-0.023 0.000 1.942
5.124 0.000 4.657
2.596 0.000 0.285
2.505 0.000 6.314
2.598 0.000 2.527
2.502 0.000 4.072
```

Entry 5:
This record from Alexandria describes an optimized crystal structure of NdMnGe2Pd. The functional is PBE.

Summary:
**Final energy**: -31.61 eV per cell
**ΔH_f (0 K)**: -3.2 eV per formula unit

The structure in POSCAR format:
```
NdMnGe2Pd
1.0
-2.113 2.113 5.307
2.113 -2.113 5.307
2.113 2.113 -5.307
Nd Mn Ge Pd
1 1 2 1
Cartesian
0.000 0.000 0.000
0.000 2.113 2.654
0.000 0.000 4.046
0.000 0.000 6.568
2.113 0.000 2.654
```

Entry 6:
This record from Alexandria describes an optimized crystal structure of LiLaP2. The functional is PBE.

Summary:
**Final energy**: -20.42 eV per cell
**ΔH_f (0 K)**: -2.8 eV per formula unit
**Offset from the most stable computed form**: 223 meV/atom

The structure in POSCAR format:
```
LiLaP2
1.0
2.179 1.258 4.955
-2.179 1.258 4.955
0.000 -2.516 4.955
Li La P
1 1 2
Cartesian
0.000 0.000 0.000
0.000 0.000 7.432
0.000 0.000 4.047
0.000 0.000 10.817
```

Entry 7:
This record from Alexandria describes an optimized crystal structure of Cd2In5Ag. The functional is PBE.

Summary:
**Final energy**: -17.93 eV per cell
**ΔH_f (0 K)**: 0.4 eV per formula unit

The structure in POSCAR format:
```
Cd2In5Ag
1.0
4.508 -4.845 0.000
4.508 4.845 0.000
-4.098 0.000 4.502
Cd In Ag
2 5 1
Cartesian
4.508 2.435 0.000
4.508 -2.435 0.000
2.257 0.000 0.001
2.465 2.419 2.254
0.214 0.000 2.261
4.725 0.000 2.236
2.465 -2.419 2.254
2.682 0.000 4.497
```

Entry 8:
This record from Alexandria describes an optimized crystal structure of TiTl2GaCl6. The functional is PBE.

Summary:
**Energy relative to the elements, uncorrected**: -1.18 eV/atom
**Final energy**: -38.57 eV per cell

The structure in POSCAR format:
```
TiTl2GaCl6
1.0
7.273 0.000 0.000
3.265 6.502 0.000
3.267 2.021 6.196
Ti Tl Ga Cl
1 2 1 6
Cartesian
0.000 0.000 0.000
3.260 2.015 1.459
10.545 6.508 4.737
6.902 4.261 3.098
4.651 5.771 1.872
6.565 6.262 5.274
5.282 2.574 4.934
8.523 5.949 1.262
7.240 2.261 0.922
9.154 2.752 4.323
```